Here is a relaxed LaErCuRh crystal from Alexandria. Energies are from PBE-GGA.

abc: 4.9896 4.9896 4.9896
angles: 60.00 60.00 60.00
With the nearest neighbours (Å) after each atom.
Atoms (fractional coordinates):
La: 0.0000 0.0000 0.0000  4 Rh 3.06, 4 Cu 3.06
Er: 0.5000 0.5000 0.5000  4 Cu 3.06, 4 Rh 3.06
Cu: 0.7500 0.7500 0.7500  4 La 3.06, 4 Er 3.06
Rh: 0.2500 0.2500 0.2500  4 La 3.06, 4 Er 3.06

Magnetic moment = 0.00 μB/atom
Density = 8.93 g/cm3
E = -22.87 eV for the cell shown